[1]
DFT (PBE) results for an optimized crystal structure of CsHS2O7.

## Properties
Final energy: -125.78 eV/cell

The structure in CIF format:
```
data_CsHS2O7
_chemical_formula_sum 'Cs2 H2 S4 O14'
_space_group_name_H-M_alt 'P 1'
_space_group_IT_number 1
_space_group_name_Hall 'P 1'
_cell_length_a 5.524
_cell_length_b 8.153
_cell_length_c 9.027
_cell_angle_alpha 93.93
_cell_angle_beta 101.94
_cell_angle_gamma 106.11
loop_
_atom_site_label
_atom_site_fract_x
_atom_site_fract_y
_atom_site_fract_z
Cs1 0.190 0.309 0.139
Cs2 0.810 0.691 0.861
H1 0.183 0.885 0.337
H2 0.817 0.115 0.663
S1 0.154 0.305 0.619
S2 0.481 0.142 0.821
S3 0.519 0.858 0.179
S4 0.846 0.695 0.381
O1 0.093 0.851 0.425
O2 0.163 0.410 0.756
O3 0.189 0.380 0.483
O4 0.245 0.037 0.854
O5 0.355 0.955 0.229
O6 0.377 0.705 0.070
O7 0.390 0.219 0.653
O8 0.610 0.781 0.347
O9 0.623 0.295 0.930
O10 0.645 0.045 0.771
O11 0.755 0.963 0.146
O12 0.811 0.620 0.517
O13 0.837 0.590 0.244
O14 0.907 0.149 0.575
```

***

[2]
DFT (PBE) results for an optimized crystal structure of CsHSO4.

## Properties
Relative energy among the computed polymorphs: 0.004 eV/atom

The structure in CIF format:
```
data_CsHSO4
_chemical_formula_sum 'Cs4 H4 S4 O16'
_space_group_name_H-M_alt 'P 1'
_space_group_IT_number 1
_space_group_name_Hall 'P 1'
_cell_length_a 7.773
_cell_length_b 8.225
_cell_length_c 7.960
_cell_angle_alpha 90.00
_cell_angle_beta 104.91
_cell_angle_gamma 90.00
loop_
_atom_site_label
_atom_site_fract_x
_atom_site_fract_y
_atom_site_fract_z
Cs1 0.215 0.127 0.183
Cs2 0.215 0.373 0.683
Cs3 0.785 0.627 0.317
Cs4 0.785 0.873 0.817
H1 0.352 0.656 0.987
H2 0.352 0.844 0.487
H3 0.648 0.156 0.513
H4 0.648 0.344 0.013
S1 0.248 0.639 0.218
S2 0.248 0.861 0.718
S3 0.752 0.139 0.282
S4 0.752 0.361 0.782
O1 0.096 0.740 0.130
O2 0.096 0.760 0.630
O3 0.200 0.006 0.802
O4 0.200 0.494 0.302
O5 0.338 0.568 0.075
O6 0.338 0.932 0.575
O7 0.390 0.737 0.337
O8 0.390 0.763 0.837
O9 0.610 0.237 0.163
O10 0.610 0.263 0.663
O11 0.662 0.068 0.425
O12 0.662 0.432 0.925
O13 0.800 0.506 0.698
O14 0.800 0.994 0.198
O15 0.904 0.240 0.370
O16 0.904 0.260 0.870
```

***

[3]
DFT (PBE) results for an optimized crystal structure of CsHSO4.

## Properties
Relative energy among the computed polymorphs: 0.008 eV/atom

The structure in CIF format:
```
data_CsHSO4
_chemical_formula_sum 'Cs2 H2 S2 O8'
_space_group_name_H-M_alt 'P 1'
_space_group_IT_number 1
_space_group_name_Hall 'P 1'
_cell_length_a 5.632
_cell_length_b 5.965
_cell_length_c 7.312
_cell_angle_alpha 90.00
_cell_angle_beta 100.51
_cell_angle_gamma 90.00
loop_
_atom_site_label
_atom_site_fract_x
_atom_site_fract_y
_atom_site_fract_z
Cs1 0.009 0.250 0.214
Cs2 0.991 0.750 0.786
H1 0.500 0.000 0.500
H2 0.500 0.500 0.500
S1 0.441 0.250 0.735
S2 0.559 0.750 0.265
O1 0.292 0.250 0.878
O2 0.297 0.750 0.199
O3 0.370 0.044 0.610
O4 0.370 0.456 0.610
O5 0.630 0.544 0.390
O6 0.630 0.956 0.390
O7 0.703 0.250 0.801
O8 0.708 0.750 0.122
```

***

[4]
DFT (PBE) results for an optimized crystal structure of CsHSO3.

## Properties
Final energy: -31.77 eV/cell

The structure in CIF format:
```
data_CsHSO3
_chemical_formula_sum 'Cs1 H1 S1 O3'
_space_group_name_H-M_alt 'P 1'
_space_group_IT_number 1
_space_group_name_Hall 'P 1'
_cell_length_a 4.854
_cell_length_b 4.854
_cell_length_c 4.854
_cell_angle_alpha 81.81
_cell_angle_beta 81.81
_cell_angle_gamma 81.81
loop_
_atom_site_label
_atom_site_fract_x
_atom_site_fract_y
_atom_site_fract_z
Cs1 0.000 0.000 0.000
H1 0.395 0.395 0.395
S1 0.537 0.537 0.537
O1 0.449 0.449 0.836
O2 0.449 0.836 0.449
O3 0.836 0.449 0.449
```